SrC2O4 (GGA-PBE, optimized geometry); raw total energy = -7.159 eV/atom; formation energy from raw total energies = -10.151 eV/f.u.; DOS at the Fermi energy = 0.0 states/eV/f.u.
1.0
5.843 0.000 0.000
0.000 8.696 0.000
0.000 0.000 8.863
Sr C O
4 8 16
Direct
0.439 0.119 0.573
0.939 0.381 0.427
0.561 0.619 0.927
0.061 0.881 0.073
0.102 0.746 0.655
0.602 0.754 0.345
0.898 0.246 0.845
0.398 0.254 0.155
0.545 0.954 0.836
0.045 0.546 0.164
0.455 0.454 0.664
0.955 0.046 0.336
0.207 0.813 0.562
0.707 0.687 0.438
0.793 0.313 0.938
0.293 0.187 0.062
0.988 0.678 0.741
0.488 0.822 0.259
0.012 0.178 0.759
0.512 0.322 0.241
0.727 0.914 0.913
0.227 0.586 0.087
0.273 0.414 0.587
0.773 0.086 0.413
0.360 0.874 0.874
0.860 0.626 0.126
0.640 0.374 0.626
0.140 0.126 0.374

---

SrTl2C2O6 (GGA-PBE, optimized geometry); raw total energy = -6.610 eV/atom; formation energy from raw total energies = -18.096 eV/f.u.; DOS at the Fermi energy = 0.0 states/eV/f.u.
1.0
5.605 0.000 0.000
-2.802 4.851 -0.183
0.000 -2.978 6.982
Sr Tl C O
1 2 2 6
Direct
0.500 0.000 0.500
0.710 0.419 0.129
0.290 0.581 0.871
0.909 0.819 0.728
0.091 0.181 0.272
0.776 0.551 0.728
0.224 0.047 0.271
0.178 0.953 0.729
0.776 0.953 0.729
0.822 0.047 0.271
0.224 0.449 0.272

---

Sr4Tl2CO9 (GGA-PBE, optimized geometry); raw total energy = -6.075 eV/atom; formation energy from raw total energies = -31.892 eV/f.u.
1.0
3.497 -0.430 9.506
-3.503 1.295 9.425
-0.836 -3.934 -9.306
Sr Tl C O
4 2 1 9
Direct
0.611 0.130 0.518
0.111 0.641 0.530
0.389 0.907 0.518
0.889 0.419 0.530
0.253 0.273 0.021
0.747 0.768 0.021
0.000 0.996 0.996
0.141 0.166 0.025
0.859 0.884 0.025
0.750 0.270 0.520
0.250 0.770 0.520
0.634 0.652 0.018
0.366 0.384 0.018
0.219 0.865 0.084
0.781 0.865 0.646
0.000 0.251 0.251

---

SrTmC2O6 (GGA-PBE, optimized geometry); raw total energy = -7.561 eV/atom; formation energy from raw total energies = -21.258 eV/f.u.; DOS at the Fermi energy = 1.8 states/eV/f.u.
1.0
6.261 -0.251 0.013
-1.016 6.184 0.013
-1.507 -1.705 6.415
Sr Tm C O
2 2 4 12
Direct
0.138 0.862 0.250
0.862 0.138 0.750
0.583 0.417 0.250
0.417 0.583 0.750
0.369 0.120 0.752
0.880 0.631 0.748
0.631 0.880 0.248
0.120 0.369 0.252
0.927 0.421 0.199
0.579 0.073 0.301
0.073 0.579 0.801
0.421 0.927 0.699
0.183 0.225 0.117
0.775 0.817 0.383
0.817 0.775 0.883
0.225 0.183 0.617
0.292 0.524 0.397
0.476 0.708 0.103
0.708 0.476 0.603
0.524 0.292 0.897